Entry i
This record from Alexandria describes a geometry-optimized Zr2NpHg structure. The functional is PBE-GGA.

Output
DOS at the Fermi energy = 1.9115 states/eV/atom
Volume = 87.9 Å³ per cell

Lattice parameters (Å, degrees): 5.177 5.177 3.279 90.00 90.00 90.00
Atoms (fractional coordinates):
Zr 0.000 0.500 0.000
Zr 0.500 0.000 0.000
Np 0.000 0.000 0.500
Hg 0.500 0.500 0.500

***

Entry ii
This record from Alexandria describes a geometry-optimized Zr2NpHg structure. The functional is PBE-GGA.

Output
DOS at the Fermi energy = 1.7459 states/eV/atom
Volume = 91.3 Å³ per cell

Lattice parameters (Å, degrees): 3.257 3.257 8.607 90.00 90.00 90.00
Atoms (fractional coordinates):
Zr 0.000 0.000 0.240
Zr 0.000 0.000 0.760
Np 0.500 0.500 0.500
Hg 0.500 0.500 0.000

***

Entry iii
This record from Alexandria describes a geometry-optimized Zr2NpHg structure. The functional is PBE-GGA.

Output
DOS at the Fermi energy = 1.4761 states/eV/atom
Volume = 92.3 Å³ per cell

Lattice parameters (Å, degrees): 10.097 10.097 10.097 18.69 18.69 18.69
Atoms (fractional coordinates):
Zr 0.249 0.249 0.249
Zr 0.751 0.751 0.751
Np 0.000 0.000 0.000
Hg 0.500 0.500 0.500

***

What is the least stable structure shown above? It is entry iii.